1.
The following is a PBE calculation of a relaxed structure of RbTiAs2Se, from the Alexandria database.

Cell and atoms, written as POSCAR:
```
RbTiAs2Se
1.0
5.007 0.000 0.000
0.000 5.007 0.000
0.000 0.000 5.170
Rb Se As Ti
1 1 2 1
Direct
0.500 0.500 0.500
0.000 0.000 0.500
0.500 0.000 0.000
0.000 0.500 0.000
0.000 0.000 0.000
```

Summary:
Energy relative to the elements, uncorrected = -0.438 eV/atom
DOS at the Fermi energy = 4.26 states/eV per cell
Crystal system = tetragonal



2.
The following is a PBE calculation of a relaxed structure of RbTlAsSe, from the Alexandria database.

Cell and atoms, written as POSCAR:
```
RbTlAsSe
1.0
-5.861 -1.384 -4.404
0.691 -5.271 0.737
-1.166 0.985 8.138
As Rb Se Tl
2 2 2 2
Direct
0.208 0.500 0.079
0.208 0.000 0.579
0.580 0.500 0.578
0.580 0.000 0.078
0.869 0.500 0.053
0.869 0.000 0.553
0.141 0.500 0.695
0.141 0.000 0.195
```

Summary:
Energy relative to the elements, uncorrected = -0.330 eV/atom
DOS at the Fermi energy = 1.41 states/eV per cell
Crystal system = monoclinic



3.
The following is a PBE calculation of a relaxed structure of RbTlAsSe, from the Alexandria database.

Cell and atoms, written as POSCAR:
```
RbTlAsSe
1.0
-3.387 1.184 -3.214
-1.759 -4.356 0.250
-7.404 3.512 9.098
Se As Rb Tl
2 2 2 2
Direct
0.500 0.000 0.888
0.500 0.500 0.388
0.000 0.000 0.802
0.000 0.500 0.302
0.500 0.500 0.676
0.500 0.000 0.176
0.000 0.500 0.961
0.000 0.000 0.461
```

Summary:
Energy relative to the elements, uncorrected = -0.373 eV/atom
DOS at the Fermi energy = 1.96 states/eV per cell
Crystal system = orthorhombic



4.
The following is a PBE calculation of a relaxed structure of RbTlAsSe, from the Alexandria database.

Cell and atoms, written as POSCAR:
```
RbTlAsSe
1.0
4.553 -0.089 0.011
0.469 4.527 0.021
1.559 1.320 6.806
As Tl Rb Se
1 1 1 1
Direct
0.784 0.690 0.841
0.212 0.119 0.904
0.635 0.536 0.364
0.071 0.973 0.543
```

Summary:
Energy relative to the elements, uncorrected = -0.358 eV/atom
DOS at the Fermi energy = 1.00 states/eV per cell
Crystal system = triclinic



Number 1: relative energy among the computed polymorphs 0.000 eV per atom. Number 2: relative energy among the computed polymorphs 0.047 eV per atom. Number 3: relative energy among the computed polymorphs 0.004 eV per atom. Number 4: relative energy among the computed polymorphs 0.018 eV per atom.